The following is a PBEsol calculation of a relaxed Sc6FeTe2 crystal, from Alexandria via LeMat-Bulk.

The space group is P-62m, No. 189. The calculation puts the calculated density at 5.15 g/cm³. The calculation puts the total energy at -6.853 eV per atom.

Cell and atoms, written as extended XYZ:
```
9
Lattice="7.611 0.000 0.000 -3.806 6.592 0.000 0.000 0.000 3.735" Properties=species:S:1:pos:R:3 pbc="T T T"
Sc -0.888 1.539 0.000
Sc -2.339 4.051 1.868
Sc 1.777 0.000 0.000
Sc 1.467 2.541 1.868
Sc 4.678 0.000 1.868
Sc 2.917 5.053 0.000
Fe 0.000 0.000 1.868
Te 0.000 4.394 0.000
Te 3.806 2.197 0.000
```